Record 1
! PBE YRe4Te, relaxed; values from VASP
&SYSTEM
  ibrav = 0, nat = 6, ntyp = 3
/
ATOMIC_SPECIES
Re 186.21 Re.upf
Te 127.60 Te.upf
Y 88.91 Y.upf
CELL_PARAMETERS angstrom
0.0000 3.8109 3.8109
3.8109 0.0000 3.8109
3.8109 3.8109 0.0000
ATOMIC_POSITIONS angstrom
Re 2.8628 4.7589 4.7589
Re 4.7589 4.7589 2.8628
Re 4.7589 2.8628 4.7589
Re 2.8628 2.8628 2.8628
Te 5.7163 5.7163 5.7163
Y 0.0000 0.0000 0.0000
! DOS at the Fermi energy = 0.664 states/eV per atom
! formation energy from raw total energies = 0.311 eV per atom
! density = 14.42 g cm⁻³

***

Record 2
! PBE PdPt3O, relaxed; values from VASP
&SYSTEM
  ibrav = 0, nat = 5, ntyp = 3
/
ATOMIC_SPECIES
Pt 195.08 Pt.upf
O 16.00 O.upf
Pd 106.42 Pd.upf
CELL_PARAMETERS angstrom
-2.3354 2.8500 -2.0867
-2.7171 0.1490 3.2445
2.2571 3.1283 1.7465
ATOMIC_POSITIONS angstrom
Pt -1.1677 1.4250 -1.0434
Pt 1.1286 1.5642 0.8733
Pt -1.3586 0.0745 1.6222
O 0.0000 0.0000 0.0000
Pd -1.3977 3.0637 1.4521
! DOS at the Fermi energy = 1.252 states/eV per atom
! formation energy from raw total energies = 0.524 eV per atom
! density = 15.48 g cm⁻³

***

Record 3
! PBE SmCu4Ru, relaxed; values from VASP
&SYSTEM
  ibrav = 0, nat = 6, ntyp = 3
/
ATOMIC_SPECIES
Ru 101.07 Ru.upf
Cu 63.55 Cu.upf
Sm 150.36 Sm.upf
CELL_PARAMETERS angstrom
5.0187 0.0000 0.0000
2.5093 4.3463 0.0000
2.5093 1.4488 4.0978
ATOMIC_POSITIONS angstrom
Ru 2.5093 1.4488 1.0244
Cu 6.2584 3.6133 2.5550
Cu 3.7790 3.6133 2.5550
Cu 5.0187 1.4661 2.5550
Cu 5.0187 2.8975 0.5306
Sm 0.0000 0.0000 0.0000
! DOS at the Fermi energy = 0.885 states/eV per atom
! formation enthalpy at 0 K = -0.021 eV per atom
! density = 9.39 g cm⁻³

***

Record 4
! PBE BeMo2W, relaxed; values from VASP
&SYSTEM
  ibrav = 0, nat = 8, ntyp = 3
/
ATOMIC_SPECIES
Mo 95.94 Mo.upf
W 183.84 W.upf
Be 9.01 Be.upf
CELL_PARAMETERS angstrom
-6.5959 0.5061 2.7847
-2.1284 -5.5419 -4.0341
-3.7560 -3.9907 1.0787
ATOMIC_POSITIONS angstrom
Mo -3.6020 -4.3591 -1.6890
Mo -6.2526 -5.3085 0.0296
Mo -10.2867 -6.9723 0.0266
Mo -4.8192 -1.4131 1.2912
W -7.3570 -3.0012 1.6193
W 0.0000 0.0000 0.0000
Be -5.1232 -6.0252 -1.7901
Be -4.3621 -2.5179 -0.6247
! DOS at the Fermi energy = 0.424 states/eV per atom
! formation enthalpy at 0 K = 0.727 eV per atom
! density = 10.64 g cm⁻³

***

Record 5
! PBE PrTlZnAu, relaxed; values from VASP
&SYSTEM
  ibrav = 0, nat = 4, ntyp = 4
/
ATOMIC_SPECIES
Pr 140.91 Pr.upf
Au 196.97 Au.upf
Tl 204.38 Tl.upf
Zn 65.41 Zn.upf
CELL_PARAMETERS angstrom
-4.4515 -1.9084 1.5552
-0.7066 -5.0363 0.1168
-0.3090 -2.4222 4.4626
ATOMIC_POSITIONS angstrom
Pr -4.1003 -7.0251 4.6010
Au -2.7336 -4.6834 3.0673
Tl -1.3668 -2.3417 1.5337
Zn 0.0000 0.0000 0.0000
! DOS at the Fermi energy = 0.405 states/eV per atom
! formation enthalpy at 0 K = -0.412 eV per atom
! density = 10.84 g cm⁻³

***

Record 6
! PBE GeTeF3, relaxed; values from VASP
&SYSTEM
  ibrav = 0, nat = 5, ntyp = 3
/
ATOMIC_SPECIES
F 19.00 F.upf
Ge 72.64 Ge.upf
Te 127.60 Te.upf
CELL_PARAMETERS angstrom
-3.6304 -2.3287 -1.2589
0.7929 -2.9952 3.2539
-2.5257 2.4070 2.8311
ATOMIC_POSITIONS angstrom
F -1.8152 -1.1643 -0.6295
F -1.2628 1.2035 1.4155
F 0.3964 -1.4976 1.6269
Ge 0.0000 0.0000 0.0000
Te -2.6816 -1.4585 2.4130
! DOS at the Fermi energy = 0.178 states/eV per atom
! formation energy from raw total energies = -1.188 eV per atom
! density = 4.71 g cm⁻³